LaMo2 after structural relaxation, computed with PBE.

Summary:
The calculation puts the density of states at the Fermi level at 6.93 states/eV per cell. Its total energy is -50.405 eV/cell. As for the calculated volume: 20.28 Å³/atom. As for the space group: Fmmm, No. 69. The value obtained for the distance to the lowest polymorph of the same formula is 163.6 meV/atom.

Unit cell a=7.534 b=7.534 c=5.074 alpha=90.00 beta=90.00 gamma=155.01
Sites, in units of the cell vectors:
1 La 0.250 0.750 0.250
2 Mo 0.065 0.935 0.750
3 La 0.750 0.250 0.750
4 Mo 0.435 0.565 0.750
5 Mo 0.935 0.065 0.250
6 Mo 0.565 0.435 0.250